VASP calculation (PBE-GGA) on crystalline UCd2In2 at its relaxed geometry.

It has space group Immm (No. 71), with a = 3.022 Å, b = 4.991 Å, c = 15.736 Å, α = 90.00°, β = 90.00° and γ = 90.00°. The distinct sites, in fractional coordinates, are U at (0.000, 0.000, 0.000), Cd at (0.000, 0.500, 0.295) and In at (0.000, 0.000, 0.398).

For the total energy, the calculation gives -3.649 eV per atom. The crystal system is orthorhombic. The calculation puts the density of states at the Fermi level at 9.943 states/eV/cell.

***

VASP calculation (PBE-GGA) on crystalline Sm4Y9Hg11 at its relaxed geometry.

It has space group Cmmm (No. 65), with a = 15.919 Å, b = 22.478 Å, c = 3.584 Å, α = 90.00°, β = 90.00° and γ = 90.00°. The distinct sites, in fractional coordinates, are Sm at (0.162, 0.085, 0.000), Y at (0.000, 0.000, 0.000), Y at (0.113, 0.408, 0.000), Y at (0.116, 0.235, 0.000), Hg at (0.000, 0.131, 0.500), Hg at (0.000, 0.320, 0.500), Hg at (0.000, 0.500, 0.500), Hg at (0.216, 0.500, 0.500) and Hg at (0.231, 0.321, 0.500).

For the total energy, the calculation gives -3.738 eV per atom. The crystal system is orthorhombic. The calculation puts the density of states at the Fermi level at 49.223 states/eV/cell.

***

VASP calculation (PBE-GGA) on crystalline Eu2YBi at its relaxed geometry.

It has space group P4/mmm (No. 123), with a = 4.970 Å, b = 4.970 Å, c = 5.212 Å, α = 90.00°, β = 90.00° and γ = 90.00°. The distinct sites, in fractional coordinates, are Eu at (0.000, 0.500, 0.000), Y at (0.000, 0.000, 0.500) and Bi at (0.500, 0.500, 0.500).

For the total energy, the calculation gives -8.115 eV per atom. The crystal system is tetragonal. The calculation puts the density of states at the Fermi level at 3.956 states/eV/cell.

***

VASP calculation (PBE-GGA) on crystalline Tb12Sc5Mn3 at its relaxed geometry.

It has space group Ia-3d (No. 230), with a = 17.342 Å, b = 17.342 Å, c = 17.342 Å, α = 90.00°, β = 90.00° and γ = 90.00°. The distinct sites, in fractional coordinates, are Tb at (0.015, 0.094, 0.645), Sc at (0.000, 0.000, 0.000), Sc at (0.000, 0.250, 0.375) and Mn at (0.000, 0.250, 0.125).

For the total energy, the calculation gives -4.739 eV per atom. The crystal system is cubic. The calculation puts the density of states at the Fermi level at 264.990 states/eV/cell.

***

VASP calculation (PBE-GGA) on crystalline NaPmF5 at its relaxed geometry.

It has space group P4/mmm (No. 123), with a = 4.104 Å, b = 4.104 Å, c = 5.590 Å, α = 90.00°, β = 90.00° and γ = 90.00°. The distinct sites, in fractional coordinates, are Na at (0.000, 0.000, 0.000), Pm at (0.500, 0.500, 0.500), F at (0.000, 0.500, 0.284) and F at (0.500, 0.500, 0.000).

The crystal system is tetragonal. The calculation puts the density of states at the Fermi level at 4.752 states/eV/cell. Its formation energy from raw total energies is -293.5 kJ/mol of atoms.

***

VASP calculation (PBE-GGA) on crystalline PrEuBi at its relaxed geometry.

It has space group P3m1 (No. 156), with a = 5.3810 Å, b = 5.3810 Å, c = 4.1597 Å, α = 90.00°, β = 90.00° and γ = 120.00°. The distinct sites, in fractional coordinates, are Pr at (0.0000, 0.0000, 0.0000), Eu at (0.3333, 0.6667, 0.4406) and Bi at (0.6667, 0.3333, 0.7374).

For the total energy, the calculation gives -6.698 eV per atom. The crystal system is trigonal. The calculation puts the density of states at the Fermi level at 3.423 states/eV/cell.

***

VASP calculation (PBE-GGA) on crystalline BeTeNF2 at its relaxed geometry.

It has space group P4/mmm (No. 123), with a = 3.264 Å, b = 3.264 Å, c = 6.740 Å, α = 90.00°, β = 90.00° and γ = 90.00°. The distinct sites, in fractional coordinates, are Be at (0.000, 0.000, 0.000), Te at (0.500, 0.500, 0.500), N at (0.000, 0.000, 0.500) and F at (0.000, 0.500, 0.000).

The crystal system is tetragonal. The calculation puts the density of states at the Fermi level at 0.501 states/eV/cell. Its formation energy from raw total energies is -109.9 kJ/mol of atoms.